# GGA-PBE LaSm5Te4, optimized geometry
# Spin magnetization ... 0.02 μB/cell
# Total energy ... -99.10 eV for the cell shown
# Density ... 6.413 g/cm3
# SG ... Pmmn, No. 59
# D(E_F) ... 10.38 states/eV/f.u.
# ΔE_f (raw) ... -0.85 eV per atom
data_LaSm5Te4
_space_group_name_H-M_alt 'P 1'
_space_group_IT_number 1
_cell_length_a 9.319
_cell_length_b 10.058
_cell_length_c 7.742
_cell_angle_alpha 90.00
_cell_angle_beta 90.00
_cell_angle_gamma 90.00
loop_
_space_group_symop_operation_xyz
'x,y,z'
loop_
_atom_site_label
_atom_site_type_symbol
_atom_site_fract_x
_atom_site_fract_y
_atom_site_fract_z
_atom_site_occupancy
La1 La 0.250 0.250 0.148 1
La2 La 0.750 0.750 0.852 1
Sm1 Sm 0.050 0.056 0.760 1
Sm2 Sm 0.050 0.444 0.760 1
Sm3 Sm 0.250 0.750 0.776 1
Sm4 Sm 0.450 0.056 0.760 1
Sm5 Sm 0.450 0.444 0.760 1
Sm6 Sm 0.550 0.556 0.240 1
Sm7 Sm 0.550 0.944 0.240 1
Sm8 Sm 0.750 0.250 0.224 1
Sm9 Sm 0.950 0.556 0.240 1
Sm10 Sm 0.950 0.944 0.240 1
Te1 Te 0.017 0.250 0.447 1
Te2 Te 0.250 0.549 0.066 1
Te3 Te 0.250 0.951 0.066 1
Te4 Te 0.483 0.250 0.447 1
Te5 Te 0.517 0.750 0.553 1
Te6 Te 0.750 0.049 0.934 1
Te7 Te 0.750 0.451 0.934 1
Te8 Te 0.983 0.750 0.553 1